This record from Alexandria via LeMat-Bulk describes a geometry-optimized NaCaYHg structure. The functional is PBE.

Cell lengths 5.4154, 5.4154, 5.4154 Å; angles 60.00, 60.00, 60.00 degrees
Element x y z (fractional)
Y1 0.5000 0.5000 0.5000
Na1 0.7500 0.7500 0.7500
Ca1 0.0000 0.0000 0.0000
Hg1 0.2500 0.2500 0.2500

Computed properties:
energy of formation	-136.2	meV/atom
uncorrected energy	-2.658	eV per atom


This record from Alexandria via LeMat-Bulk describes a geometry-optimized NaCaZnHg structure. The functional is PBE.

Cell lengths 5.2318, 5.2318, 5.2318 Å; angles 60.00, 60.00, 60.00 degrees
Element x y z (fractional)
Na1 0.2500 0.2500 0.2500
Zn1 0.0000 0.0000 0.0000
Ca1 0.7500 0.7500 0.7500
Hg1 0.5000 0.5000 0.5000

Computed properties:
energy of formation	-198.6	meV/atom
uncorrected energy	-1.423	eV per atom


This record from Alexandria via LeMat-Bulk describes a geometry-optimized Ca2NbHg structure. The functional is PBE.

Cell lengths 8.4475, 8.4475, 6.7525 Å; angles 51.28, 51.28, 90.00 degrees
Each line ends with the local moment (μB).
Element x y z (fractional)
Nb1 0.5000 0.5000 0.0000  2.12
Nb2 0.2500 0.7500 0.5000  2.11
Ca1 0.6464 0.1250 0.2500  0.05
Ca2 0.1036 0.6250 0.2500  0.06
Ca3 0.3750 0.3536 0.7500  0.05
Ca4 0.8750 0.8964 0.7500  0.05
Hg1 0.0000 0.0000 0.0000  0.00
Hg2 0.7500 0.2500 0.5000  0.00

Computed properties:
energy of formation	560.4	meV/atom
uncorrected energy	-3.033	eV per atom


This record from Alexandria via LeMat-Bulk describes a geometry-optimized CaNbHg3 structure. The functional is PBE.

Cell lengths 5.3644, 5.3644, 5.3644 Å; angles 90.00, 90.00, 90.00 degrees
Element x y z (fractional)
Nb1 0.0000 0.0000 0.0000
Ca1 0.5000 0.5000 0.5000
Hg1 0.0000 0.5000 0.0000
Hg2 0.0000 0.0000 0.5000
Hg3 0.5000 0.0000 0.0000

Computed properties:
energy of formation	373.8	meV/atom
uncorrected energy	-2.222	eV per atom


This record from Alexandria via LeMat-Bulk describes a geometry-optimized CaNb2Hg structure. The functional is PBE.

Cell lengths 4.0410, 4.0410, 11.5020 Å; angles 79.88, 79.88, 90.00 degrees
Element x y z (fractional)
Nb1 0.6394 0.1250 0.2500
Nb2 0.1106 0.6250 0.2500
Nb3 0.3750 0.3606 0.7500
Nb4 0.8750 0.8894 0.7500
Ca1 0.5000 0.5000 0.0000
Ca2 0.2500 0.7500 0.5000
Hg1 0.0000 0.0000 0.0000
Hg2 0.7500 0.2500 0.5000

Computed properties:
energy of formation	603.8	meV/atom
uncorrected energy	-5.007	eV per atom


This record from Alexandria via LeMat-Bulk describes a geometry-optimized Ca2NbHgPt structure. The functional is PBE.

Cell lengths 5.5584, 5.1575, 5.5584 Å; angles 90.00, 90.00, 90.00 degrees
Each line ends with the local moment (μB).
Element x y z (fractional)
Nb1 0.0000 0.5000 0.0000  1.71
Ca1 0.0000 0.0000 0.5000  0.00
Ca2 0.5000 0.0000 0.0000  -0.01
Hg1 0.0000 0.0000 0.0000  0.01
Pt1 0.5000 0.5000 0.5000  -0.08

Computed properties:
energy of formation	805.6	meV/atom
uncorrected energy	-3.278	eV per atom


Repeat the second record exactly.
This record from Alexandria via LeMat-Bulk describes a geometry-optimized NaCaZnHg structure. The functional is PBE.

Cell lengths 5.2318, 5.2318, 5.2318 Å; angles 60.00, 60.00, 60.00 degrees
Element x y z (fractional)
Na1 0.2500 0.2500 0.2500
Zn1 0.0000 0.0000 0.0000
Ca1 0.7500 0.7500 0.7500
Hg1 0.5000 0.5000 0.5000

Computed properties:
energy of formation	-198.6	meV/atom
uncorrected energy	-1.423	eV per atom